A plane-wave DFT calculation with PBE was carried out for a relaxed LiCrTc3 crystal.

Computed properties:
The value obtained for the formation energy from the elements is 1176.5 meV/atom. The energy above the most stable polymorph in this dataset is 0 meV/atom.

The structure in CIF format:
```
data_LiCrTc3
_chemical_formula_sum 'Li1 Cr1 Tc3'
_symmetry_space_group_name_H-M 'P m -3 m'
_symmetry_Int_Tables_number 221
_symmetry_space_group_name_Hall '-P 4 2 3'
_cell_length_a 4.465
_cell_length_b 4.465
_cell_length_c 4.465
_cell_angle_alpha 90.00
_cell_angle_beta 90.00
_cell_angle_gamma 90.00
loop_
_atom_site_label
_atom_site_type_symbol
_atom_site_fract_x
_atom_site_fract_y
_atom_site_fract_z
_atom_site_occupancy
Li1 Li 0.000 0.000 0.000 1
Cr1 Cr 0.500 0.500 0.500 1
Tc1 Tc 0.000 0.500 0.500 1
```

---

A plane-wave DFT calculation with PBE was carried out for a relaxed LiCrTc4 crystal.

Computed properties:
The value obtained for the formation energy from the elements is 439.5 meV/atom.

The structure in CIF format:
```
data_LiCrTc4
_chemical_formula_sum 'Li4 Cr4 Tc16'
_symmetry_space_group_name_H-M 'F -4 3 m'
_symmetry_Int_Tables_number 216
_symmetry_space_group_name_Hall 'F -4 2 3'
_cell_length_a 7.202
_cell_length_b 7.202
_cell_length_c 7.202
_cell_angle_alpha 90.00
_cell_angle_beta 90.00
_cell_angle_gamma 90.00
loop_
_atom_site_label
_atom_site_type_symbol
_atom_site_fract_x
_atom_site_fract_y
_atom_site_fract_z
_atom_site_occupancy
Li1 Li 0.000 0.000 0.000 1
Cr1 Cr 0.250 0.250 0.250 1
Tc1 Tc 0.125 0.125 0.625 1
```

---

A plane-wave DFT calculation with PBE was carried out for a relaxed LiCr2TcW crystal.

Computed properties:
The value obtained for the formation energy from the elements is 1393.8 meV/atom.

The structure in CIF format:
```
data_LiCr2TcW
_chemical_formula_sum 'Li1 Cr2 Tc1 W1'
_symmetry_space_group_name_H-M 'P 4/m m m'
_symmetry_Int_Tables_number 123
_symmetry_space_group_name_Hall '-P 4 2'
_cell_length_a 4.702
_cell_length_b 4.702
_cell_length_c 4.759
_cell_angle_alpha 90.00
_cell_angle_beta 90.00
_cell_angle_gamma 90.00
loop_
_atom_site_label
_atom_site_type_symbol
_atom_site_fract_x
_atom_site_fract_y
_atom_site_fract_z
_atom_site_occupancy
Li1 Li 0.000 0.000 0.000 1
Cr1 Cr 0.000 0.500 0.500 1
Tc1 Tc 0.500 0.500 0.500 1
W1 W 0.500 0.500 0.000 1
```

---

A plane-wave DFT calculation with PBE was carried out for a relaxed LiCrTe2 crystal.

Computed properties:
For the formation energy (no corrections), the calculation gives -0.6 eV per formula unit.

The structure in CIF format:
```
data_LiCrTe2
_chemical_formula_sum 'Li2 Cr2 Te4'
_symmetry_space_group_name_H-M 'C 1 2/m 1'
_symmetry_Int_Tables_number 12
_cell_length_a 8.217
_cell_length_b 7.932
_cell_length_c 3.212
_cell_angle_alpha 90.00
_cell_angle_beta 112.60
_cell_angle_gamma 90.00
loop_
_symmetry_equiv_pos_as_xyz
'x,y,z'
'-x,-y,-z'
'-x,y,-z'
'x,-y,z'
'x+1/2,y+1/2,z'
'-x+1/2,-y+1/2,-z'
'-x+1/2,y+1/2,-z'
'x+1/2,-y+1/2,z'
loop_
_atom_site_label
_atom_site_type_symbol
_atom_site_fract_x
_atom_site_fract_y
_atom_site_fract_z
_atom_site_occupancy
Li1 Li 0.000 0.000 0.000 1
Cr1 Cr 0.000 0.500 0.000 1
Te1 Te 0.250 0.250 0.000 1
```

---

A plane-wave DFT calculation with PBE was carried out for a relaxed LiCrTe crystal.

Computed properties:
For the formation energy (no corrections), the calculation gives -0.6 eV per formula unit. The energy above the most stable polymorph in this dataset is 0 meV/atom.

The structure in CIF format:
```
data_LiCrTe
_chemical_formula_sum 'Li2 Cr2 Te2'
_symmetry_space_group_name_H-M 'P 4/n m m'
_symmetry_Int_Tables_number 129
_cell_length_a 4.044
_cell_length_b 4.044
_cell_length_c 6.753
_cell_angle_alpha 90.00
_cell_angle_beta 90.00
_cell_angle_gamma 90.00
loop_
_symmetry_equiv_pos_as_xyz
'x,y,z'
'-x,-y,-z'
'-y+1/2,x,z'
'y+1/2,-x,-z'
'-x+1/2,-y+1/2,z'
'x+1/2,y+1/2,-z'
'y,-x+1/2,z'
'-y,x+1/2,-z'
'x+1/2,-y,-z'
'-x+1/2,y,z'
'-y,-x,-z'
'y,x,z'
'-x,y+1/2,-z'
'x,-y+1/2,z'
'y+1/2,x+1/2,-z'
'-y+1/2,-x+1/2,z'
loop_
_atom_site_label
_atom_site_type_symbol
_atom_site_fract_x
_atom_site_fract_y
_atom_site_fract_z
_atom_site_occupancy
Li1 Li 0.250 0.250 0.186 1
Cr1 Cr 0.250 0.750 0.500 1
Te1 Te 0.250 0.250 0.756 1
```

---

A plane-wave DFT calculation with PBE was carried out for a relaxed LiCrTe crystal.

Computed properties:
For the formation energy (no corrections), the calculation gives 0.5 eV per formula unit. The energy above the most stable polymorph in this dataset is 365 meV/atom.

The structure in CIF format:
```
data_LiCrTe
_chemical_formula_sum 'Li2 Cr2 Te2'
_symmetry_space_group_name_H-M 'I 4 m m'
_symmetry_Int_Tables_number 107
_symmetry_space_group_name_Hall 'I 4 -2'
_cell_length_a 3.375
_cell_length_b 3.375
_cell_length_c 8.351
_cell_angle_alpha 90.00
_cell_angle_beta 90.00
_cell_angle_gamma 90.00
loop_
_atom_site_label
_atom_site_type_symbol
_atom_site_fract_x
_atom_site_fract_y
_atom_site_fract_z
_atom_site_occupancy
Li1 Li 0.000 0.000 0.000 1
Cr1 Cr 0.000 0.000 0.330 1
Te1 Te 0.000 0.000 0.675 1
```

---

Going through the records in order, we get total energy values of -7.35, -8.39, -7.50, -4.61, -5.11, -4.74 eV per atom.
Going through the records in order, we get theoretical density values of 6.586, 8.017, 6.200, 5.398, 5.610, 6.511 g cm⁻³.